Compound: DyAl8Cr4
Source: Alexandria
Functional: PBEsol
Structure: optimized geometry

Cell: 8.8237 8.8237 5.0024 Å, 90.00 90.00 90.00°
Space group I4/mmm (No. 139)
Asymmetric unit:
Dy1 0.0000 0.0000 0.0000 [2 per cell]
Al1 0.0000 0.2213 0.5000 [8 per cell]
Al2 0.0000 0.3358 0.0000 [8 per cell]
Cr1 0.2500 0.2500 0.2500 [8 per cell]

* formation enthalpy at 0 K: -0.20 eV per atom
* total DFT energy (no corrections): -6.251 eV per atom

***

Compound: Tb8Se15
Source: Alexandria
Functional: PBEsol
Structure: optimized geometry

Cell: 11.9754 15.9449 16.4451 Å, 90.00 90.00 90.00°
Space group Amm2 (No. 38)
Asymmetric unit:
Tb1 0.0000 0.0000 0.0000 [2 per cell]
Tb2 0.0000 0.0000 0.4717 [2 per cell]
Tb3 0.0000 0.2494 0.9865 [4 per cell]
Tb4 0.1659 0.1216 0.7082 [8 per cell]
Tb5 0.1692 0.1297 0.2183 [8 per cell]
Tb6 0.3311 0.2479 0.4798 [8 per cell]
Tb7 0.3323 0.0000 0.9833 [4 per cell]
Tb8 0.3344 0.0000 0.4887 [4 per cell]
Tb9 0.5000 0.1248 0.2048 [4 per cell]
Tb10 0.5000 0.1274 0.7189 [4 per cell]
Se1 0.0000 0.0000 0.1748 [2 per cell]
Se2 0.0000 0.0000 0.6490 [2 per cell]
Se3 0.0000 0.1365 0.3478 [4 per cell]
Se4 0.0000 0.2466 0.6655 [4 per cell]
Se5 0.1035 0.0000 0.8376 [4 per cell]
Se6 0.1573 0.2298 0.8489 [8 per cell]
Se7 0.1653 0.1248 0.0361 [8 per cell]
Se8 0.1666 0.1248 0.5295 [8 per cell]
Se9 0.1877 0.0000 0.3478 [4 per cell]
Se10 0.3157 0.1228 0.8496 [8 per cell]
Se11 0.3335 0.2485 0.6618 [8 per cell]
Se12 0.3347 0.0000 0.1627 [4 per cell]
Se13 0.3347 0.0000 0.6664 [4 per cell]
Se14 0.3474 0.1154 0.3474 [8 per cell]
Se15 0.5000 0.0000 0.8494 [2 per cell]
Se16 0.5000 0.1239 0.5352 [4 per cell]
Se17 0.5000 0.1268 0.0278 [4 per cell]
Se18 0.5000 0.2343 0.3471 [4 per cell]

* formation energy (no corrections): -1.72 eV per atom
* total DFT energy (no corrections): -5.970 eV per atom

***

Compound: AlGaSn2N
Source: Alexandria
Functional: PBEsol
Structure: optimized geometry

Cell: 5.1139 5.1139 4.6320 Å, 90.00 90.00 90.00°
Space group P4/mmm (No. 123)
Asymmetric unit:
Al1 0.0000 0.0000 0.0000 [1 per cell]
Ga1 0.0000 0.0000 0.5000 [1 per cell]
Sn1 0.0000 0.5000 0.5000 [2 per cell]
N1 0.5000 0.5000 0.0000 [1 per cell]

* formation energy (no corrections): 1.46 eV per atom
* total DFT energy (no corrections): -3.431 eV per atom

***

Compound: BaSb2Cl
Source: Alexandria
Functional: PBEsol
Structure: optimized geometry

Cell: 3.5441 3.5441 31.2698 Å, 90.00 90.00 120.00°
Space group R-3m (No. 166, hexagonal axes)
Asymmetric unit:
Ba1 0.0000 0.0000 0.0000 [3 per cell]
Sb1 0.0000 0.0000 0.2399 [6 per cell]
Cl1 0.0000 0.0000 0.5000 [3 per cell]

* formation energy (no corrections): -0.06 eV per atom
* total DFT energy (no corrections): -3.382 eV per atom

***

Compound: Ta3B2
Source: Alexandria
Functional: PBEsol
Structure: optimized geometry

Cell: 6.1590 6.1590 3.2698 Å, 90.00 90.00 90.00°
Space group P4/mbm (No. 127)
Asymmetric unit:
Ta1 0.0000 0.0000 0.0000 [2 per cell]
Ta2 0.1773 0.3227 0.5000 [4 per cell]
B1 0.1085 0.6085 0.0000 [4 per cell]

* formation enthalpy at 0 K: -0.73 eV per atom
* total DFT energy (no corrections): -11.065 eV per atom

***

Compound: ScPbSeBr2
Source: Alexandria
Functional: PBEsol
Structure: optimized geometry

Cell: 5.1606 5.1606 5.2007 Å, 90.00 90.00 90.00°
Space group P4/mmm (No. 123)
Asymmetric unit:
Sc1 0.0000 0.0000 0.0000 [1 per cell]
Pb1 0.5000 0.5000 0.5000 [1 per cell]
Se1 0.0000 0.0000 0.5000 [1 per cell]
Br1 0.0000 0.5000 0.0000 [2 per cell]

* formation energy (no corrections): -0.90 eV per atom
* total DFT energy (no corrections): -4.538 eV per atom

***

Look up the total DFT energy (no corrections) of the second one.
-5.970 eV per atom